Model A:
Compound: TaTi3Pt
Source: the Alexandria database
Functional: PBE
Structure: relaxed

Cell: 7.0066 7.0066 5.3778 Å, 100.67 100.67 134.66°
Fractional coordinates of all 10 atoms:
Ta: 0.0491 0.9509 0.7500
Ta: 0.9509 0.0491 0.2500
Ti: 0.1105 0.4153 0.9833
Ti: 0.4153 0.1105 0.4833
Ti: 0.4621 0.5379 0.7500
Ti: 0.5379 0.4621 0.2500
Ti: 0.5847 0.8895 0.5167
Ti: 0.8895 0.5847 0.0167
Pt: 0.0000 0.5000 0.5000
Pt: 0.5000 0.0000 0.0000

Results
V: 164.7 Å³/cell
Space-group type: C2/c (15)

---

Model B:
Compound: TaTi3Pt
Source: the Alexandria database
Functional: PBE
Structure: relaxed

Cell: 4.7300 4.7300 4.7300 Å, 90.00 90.00 90.00°
Fractional coordinates of all 5 atoms:
Ta: 0.0000 0.0000 0.0000
Ti: 0.0000 0.5000 0.5000
Ti: 0.5000 0.0000 0.5000
Ti: 0.5000 0.5000 0.0000
Pt: 0.5000 0.5000 0.5000

Results
V: 105.8 Å³/cell
Space-group type: Pm-3m (221)

---

Order of stability, best first: model A, model B

---

Model A:
Compound: Ta2TiPt
Source: the Alexandria database
Functional: PBE
Structure: relaxed

Cell: 3.8167 3.8167 20.0921 Å, 90.00 90.00 90.00°
Fractional coordinates of all 16 atoms:
Ta: 0.2471 0.2500 0.1250
Ta: 0.2500 0.7471 0.3750
Ta: 0.2500 0.7529 0.8750
Ta: 0.2529 0.2500 0.6250
Ta: 0.7471 0.7500 0.6250
Ta: 0.7500 0.2471 0.8750
Ta: 0.7500 0.2529 0.3750
Ta: 0.7529 0.7500 0.1250
Ti: 0.0000 0.0000 0.0000
Ti: 0.0000 0.5000 0.2500
Ti: 0.5000 0.0000 0.7500
Ti: 0.5000 0.5000 0.5000
Pt: 0.0000 0.0000 0.5000
Pt: 0.0000 0.5000 0.7500
Pt: 0.5000 0.0000 0.2500
Pt: 0.5000 0.5000 0.0000

Results
V: 292.7 Å³/cell
Space-group type: I-42d (122)

---

Model B:
Compound: Ta2TiPt
Source: the Alexandria database
Functional: PBE
Structure: relaxed

Cell: 3.2766 3.2766 6.3528 Å, 90.00 90.00 90.00°
Fractional coordinates of all 4 atoms:
Ta: 0.0000 0.0000 0.0000
Ta: 0.5000 0.5000 0.2534
Ti: 0.5000 0.5000 0.7531
Pt: 0.0000 0.0000 0.5082

Results
V: 68.2 Å³/cell
Space-group type: P4mm (99)

---

Model C:
Compound: Ta2TiPt
Source: the Alexandria database
Functional: PBE
Structure: relaxed

Cell: 3.9337 3.9337 4.4042 Å, 90.00 90.00 90.00°
Fractional coordinates of all 4 atoms:
Ta: 0.0000 0.5000 0.0000
Ta: 0.5000 0.0000 0.0000
Ti: 0.0000 0.0000 0.5000
Pt: 0.5000 0.5000 0.5000

Results
V: 68.2 Å³/cell
Space-group type: P4/mmm (123)

---

Order of stability, best first: model B, model C, model A

---

Model A:
Compound: TaTiPt3
Source: the Alexandria database
Functional: PBE
Structure: relaxed

Cell: 7.3472 7.3472 5.1500 Å, 97.10 97.10 138.46°
Fractional coordinates of all 10 atoms:
Ta: 0.1798 0.8202 0.7500
Ta: 0.8202 0.1798 0.2500
Ti: 0.4881 0.5119 0.2500
Ti: 0.5119 0.4881 0.7500
Pt: 0.0000 0.0000 0.0000
Pt: 0.0000 0.0000 0.5000
Pt: 0.1170 0.4440 0.8618
Pt: 0.4440 0.1170 0.3618
Pt: 0.5560 0.8830 0.6382
Pt: 0.8830 0.5560 0.1382

Results
V: 172.8 Å³/cell
Space-group type: C2/c (15)

---

Model B:
Compound: TaTiPt3
Source: the Alexandria database
Functional: PBE
Structure: relaxed

Cell: 4.6187 4.6187 4.6187 Å, 90.00 90.00 90.00°
Fractional coordinates of all 5 atoms:
Ta: 0.0000 0.0000 0.0000
Ti: 0.5000 0.5000 0.5000
Pt: 0.0000 0.5000 0.5000
Pt: 0.5000 0.0000 0.5000
Pt: 0.5000 0.5000 0.0000

Results
V: 98.5 Å³/cell
Space-group type: Pm-3m (221)

---

Order of stability, best first: model A, model B

---

Model A:
Compound: Ta3TiPt
Source: the Alexandria database
Functional: PBE
Structure: relaxed

Cell: 7.2678 7.2678 9.4946 Å, 110.87 110.87 21.92°
Fractional coordinates of all 10 atoms:
Ta: 0.0591 0.0591 0.1570
Ta: 0.2465 0.2465 0.7379
Ta: 0.3544 0.3544 0.0621
Ta: 0.6456 0.6456 0.9379
Ta: 0.7535 0.7535 0.2621
Ta: 0.9409 0.9409 0.8430
Ti: 0.0434 0.0434 0.6464
Ti: 0.9566 0.9566 0.3536
Pt: 0.3628 0.3628 0.5393
Pt: 0.6372 0.6372 0.4607

Results
V: 174.5 Å³/cell
Space-group type: C2/m (12)

---

Model B:
Compound: Ta3TiPt
Source: the Alexandria database
Functional: PBE
Structure: relaxed

Cell: 4.6081 4.6081 4.6081 Å, 90.00 90.00 90.00°
Fractional coordinates of all 5 atoms:
Ta: 0.0000 0.0000 0.5000
Ta: 0.0000 0.5000 0.0000
Ta: 0.5000 0.0000 0.0000
Ti: 0.0000 0.0000 0.0000
Pt: 0.5000 0.5000 0.5000

Results
V: 97.9 Å³/cell
Space-group type: Pm-3m (221)

---

Model C:
Compound: Ta3TiPt
Source: the Alexandria database
Functional: PBE
Structure: relaxed

Cell: 4.8699 4.8699 4.8699 Å, 90.00 90.00 90.00°
Fractional coordinates of all 5 atoms:
Ta: 0.0000 0.0000 0.5000
Ta: 0.0000 0.5000 0.0000
Ta: 0.5000 0.0000 0.0000
Ti: 0.5000 0.5000 0.5000
Pt: 0.0000 0.0000 0.0000

Results
V: 115.5 Å³/cell
Space-group type: Pm-3m (221)

---

Order of stability, best first: model A, model C, model B

---

Model A:
Compound: TaTl2Pt
Source: the Alexandria database
Functional: PBE
Structure: relaxed

Cell: 3.0823 5.3376 9.9541 Å, 90.00 90.00 90.00°
Fractional coordinates of all 8 atoms:
Ta: 0.0000 0.0000 0.0000
Ta: 0.5000 0.5000 0.5000
Tl: 0.0000 0.5000 0.2389
Tl: 0.0000 0.5000 0.7611
Tl: 0.5000 0.0000 0.2611
Tl: 0.5000 0.0000 0.7389
Pt: 0.0000 0.0000 0.5000
Pt: 0.5000 0.5000 0.0000

Results
V: 163.8 Å³/cell
Space-group type: Immm (71)

---

Model B:
Compound: TaTl2Pt
Source: the Alexandria database
Functional: PBE
Structure: relaxed

Cell: 3.0789 3.0789 8.4452 Å, 90.00 90.00 90.00°
Fractional coordinates of all 4 atoms:
Ta: 0.0000 0.0000 0.0000
Tl: 0.5000 0.5000 0.2624
Tl: 0.5000 0.5000 0.7376
Pt: 0.0000 0.0000 0.5000

Results
V: 80.1 Å³/cell
Space-group type: P4/mmm (123)

---

Model C:
Compound: TaTl2Pt
Source: the Alexandria database
Functional: PBE
Structure: relaxed

Cell: 3.2006 3.2806 8.8074 Å, 90.00 100.40 90.00°
Fractional coordinates of all 4 atoms:
Ta: 0.0000 0.0000 0.0000
Tl: 0.6252 0.5000 0.2507
Tl: 0.7943 0.0000 0.5820
Pt: 0.4215 0.5000 0.8425

Results
V: 91.0 Å³/cell
Space-group type: Pm (6)

---

Order of stability, best first: model C, model A, model B

---

Model A:
Compound: TaTl2Pt
Source: the Alexandria database
Functional: PBE
Structure: relaxed

Cell: 7.7781 7.7781 5.7914 Å, 90.00 90.00 90.00°
Fractional coordinates of all 16 atoms:
Ta: 0.0000 0.0000 0.0000
Ta: 0.0000 0.5000 0.2500
Ta: 0.5000 0.0000 0.7500
Ta: 0.5000 0.5000 0.5000
Tl: 0.2319 0.2500 0.6250
Tl: 0.2500 0.7319 0.8750
Tl: 0.2500 0.7681 0.3750
Tl: 0.2681 0.2500 0.1250
Tl: 0.7319 0.7500 0.1250
Tl: 0.7500 0.2319 0.3750
Tl: 0.7500 0.2681 0.8750
Tl: 0.7681 0.7500 0.6250
Pt: 0.0000 0.0000 0.5000
Pt: 0.0000 0.5000 0.7500
Pt: 0.5000 0.0000 0.2500
Pt: 0.5000 0.5000 0.0000

Results
V: 350.4 Å³/cell
Space-group type: I-42d (122)

---

Model B:
Compound: TaTl2Pt
Source: the Alexandria database
Functional: PBE
Structure: relaxed

Cell: 4.1319 4.1319 9.7781 Å, 90.00 90.00 90.00°
Fractional coordinates of all 8 atoms:
Ta: 0.0000 0.0000 0.0000
Ta: 0.5000 0.5000 0.5000
Tl: 0.0000 0.5000 0.2500
Tl: 0.0000 0.5000 0.7500
Tl: 0.5000 0.0000 0.2500
Tl: 0.5000 0.0000 0.7500
Pt: 0.0000 0.0000 0.5000
Pt: 0.5000 0.5000 0.0000

Results
V: 166.9 Å³/cell
Space-group type: I4/mmm (139)

---

Model C:
Compound: TaTl2Pt
Source: the Alexandria database
Functional: PBE
Structure: relaxed

Cell: 4.3647 4.3647 4.2106 Å, 90.00 90.00 90.00°
Fractional coordinates of all 4 atoms:
Ta: 0.0000 0.0000 0.0000
Tl: 0.0000 0.5000 0.5000
Tl: 0.5000 0.0000 0.5000
Pt: 0.5000 0.5000 0.0000

Results
V: 80.2 Å³/cell
Space-group type: P4/mmm (123)

---

Model D:
Compound: TaTl2Pt
Source: the Alexandria database
Functional: PBE
Structure: relaxed

Cell: 6.9233 6.9233 6.9233 Å, 90.00 90.00 90.00°
Fractional coordinates of all 16 atoms:
Ta: 0.0000 0.0000 0.0000
Ta: 0.0000 0.5000 0.5000
Ta: 0.5000 0.0000 0.5000
Ta: 0.5000 0.5000 0.0000
Tl: 0.0000 0.0000 0.5000
Tl: 0.0000 0.5000 0.0000
Tl: 0.2500 0.2500 0.7500
Tl: 0.2500 0.7500 0.2500
Tl: 0.5000 0.0000 0.0000
Tl: 0.5000 0.5000 0.5000
Tl: 0.7500 0.2500 0.2500
Tl: 0.7500 0.7500 0.7500
Pt: 0.2500 0.2500 0.2500
Pt: 0.2500 0.7500 0.7500
Pt: 0.7500 0.2500 0.7500
Pt: 0.7500 0.7500 0.2500

Results
V: 331.8 Å³/cell
Space-group type: F-43m (216)

---

Order of stability, best first: model C, model D, model B, model A

---

Model A:
Compound: TaTl2Pt
Source: the Alexandria database
Functional: PBE
Structure: relaxed

Cell: 3.1793 5.4168 9.6111 Å, 90.00 90.00 90.00°
Fractional coordinates of all 8 atoms:
Ta: 0.0000 0.0000 0.0000
Ta: 0.5000 0.5000 0.0000
Tl: 0.0000 0.5000 0.2599
Tl: 0.0000 0.5000 0.7401
Tl: 0.5000 0.0000 0.2599
Tl: 0.5000 0.0000 0.7401
Pt: 0.0000 0.0000 0.5000
Pt: 0.5000 0.5000 0.5000

Results
V: 165.5 Å³/cell
Space-group type: Cmmm (65)

---

Model B:
Compound: TaTl2Pt
Source: the Alexandria database
Functional: PBE
Structure: relaxed

Cell: 3.0082 5.0582 11.5912 Å, 90.00 90.00 90.00°
Fractional coordinates of all 8 atoms:
Ta: 0.0000 0.0000 0.0000
Ta: 0.5000 0.5000 0.5000
Tl: 0.0000 0.0000 0.5377
Tl: 0.0000 0.5000 0.7421
Tl: 0.5000 0.0000 0.2421
Tl: 0.5000 0.5000 0.0377
Pt: 0.0000 0.5000 0.3129
Pt: 0.5000 0.0000 0.8129

Results
V: 176.4 Å³/cell
Space-group type: Imm2 (44)

---

Order of stability, best first: model B, model A

---

Model A:
Compound: TaTl2Pt
Source: the Alexandria database
Functional: PBE
Structure: relaxed

Cell: 3.0906 4.7235 5.6113 Å, 90.00 93.11 90.00°
Fractional coordinates of all 4 atoms:
Ta: 0.0000 0.0000 0.0000
Tl: 0.3098 0.5000 0.7485
Tl: 0.6902 0.5000 0.2515
Pt: 0.5000 0.0000 0.5000

Results
V: 81.8 Å³/cell
Space-group type: P2/m (10)

---

Model B:
Compound: TaTl2Pt
Source: the Alexandria database
Functional: PBE
Structure: relaxed

Cell: 4.2043 4.2043 9.1568 Å, 90.00 90.00 90.00°
Fractional coordinates of all 8 atoms:
Ta: 0.0000 0.0000 0.0000
Ta: 0.5000 0.5000 0.5000
Tl: 0.0000 0.0000 0.5000
Tl: 0.0000 0.5000 0.7500
Tl: 0.5000 0.0000 0.2500
Tl: 0.5000 0.5000 0.0000
Pt: 0.0000 0.5000 0.2500
Pt: 0.5000 0.0000 0.7500

Results
V: 161.9 Å³/cell
Space-group type: I-4m2 (119)

---

Model C:
Compound: TaTl2Pt
Source: the Alexandria database
Functional: PBE
Structure: relaxed

Cell: 6.8711 6.8711 6.8711 Å, 90.00 90.00 90.00°
Fractional coordinates of all 16 atoms:
Ta: 0.0000 0.0000 0.0000
Ta: 0.0000 0.5000 0.5000
Ta: 0.5000 0.0000 0.5000
Ta: 0.5000 0.5000 0.0000
Tl: 0.2500 0.2500 0.2500
Tl: 0.2500 0.2500 0.7500
Tl: 0.2500 0.7500 0.2500
Tl: 0.2500 0.7500 0.7500
Tl: 0.7500 0.2500 0.2500
Tl: 0.7500 0.2500 0.7500
Tl: 0.7500 0.7500 0.2500
Tl: 0.7500 0.7500 0.7500
Pt: 0.0000 0.0000 0.5000
Pt: 0.0000 0.5000 0.0000
Pt: 0.5000 0.0000 0.0000
Pt: 0.5000 0.5000 0.5000

Results
V: 324.4 Å³/cell
Space-group type: Fm-3m (225)

---

Model D:
Compound: TaTl2Pt
Source: the Alexandria database
Functional: PBE
Structure: relaxed

Cell: 3.2649 3.2649 8.5748 Å, 90.00 90.00 90.00°
Fractional coordinates of all 4 atoms:
Ta: 0.0000 0.0000 0.0000
Tl: 0.0000 0.0000 0.5747
Tl: 0.5000 0.5000 0.2540
Pt: 0.5000 0.5000 0.8465

Results
V: 91.4 Å³/cell
Space-group type: P4mm (99)

---

Order of stability, best first: model D, model A, model B, model C

---

Model A:
Compound: TaTl2Pt
Source: the Alexandria database
Functional: PBE
Structure: relaxed

Cell: 3.2003 3.2003 29.6641 Å, 90.00 90.00 120.00°
Fractional coordinates of all 12 atoms:
Ta: 0.0000 0.0000 0.0000
Ta: 0.3333 0.6667 0.6667
Ta: 0.6667 0.3333 0.3333
Tl: 0.0000 0.0000 0.2472
Tl: 0.0000 0.0000 0.4824
Tl: 0.3333 0.6667 0.1491
Tl: 0.3333 0.6667 0.9139
Tl: 0.6667 0.3333 0.5806
Tl: 0.6667 0.3333 0.8158
Pt: 0.0000 0.0000 0.7317
Pt: 0.3333 0.6667 0.3984
Pt: 0.6667 0.3333 0.0650

Results
V: 263.1 Å³/cell
Space-group type: R3m (160)

---

Model B:
Compound: TaTl2Pt
Source: the Alexandria database
Functional: PBE
Structure: relaxed

Cell: 3.0908 5.0507 5.3056 Å, 90.00 90.00 90.00°
Fractional coordinates of all 4 atoms:
Ta: 0.0000 0.0000 0.0000
Tl: 0.0000 0.5000 0.5000
Tl: 0.5000 0.5000 0.0000
Pt: 0.5000 0.0000 0.5000

Results
V: 82.8 Å³/cell
Space-group type: Pmmm (47)

---

Model C:
Compound: TaTl2Pt
Source: the Alexandria database
Functional: PBE
Structure: relaxed

Cell: 8.3834 2.9522 7.8156 Å, 90.00 94.62 90.00°
Fractional coordinates of all 8 atoms:
Ta: 0.0000 0.0000 0.0000
Ta: 0.5000 0.5000 0.0000
Tl: 0.2663 0.0000 0.7206
Tl: 0.4877 0.0000 0.3994
Tl: 0.7663 0.5000 0.7206
Tl: 0.9877 0.5000 0.3994
Pt: 0.2425 0.5000 0.1422
Pt: 0.7425 0.0000 0.1422

Results
V: 192.8 Å³/cell
Space-group type: Cm (8)

---

Model D:
Compound: TaTl2Pt
Source: the Alexandria database
Functional: PBE
Structure: relaxed

Cell: 3.1680 3.1680 27.9932 Å, 90.00 90.00 120.00°
Fractional coordinates of all 12 atoms:
Ta: 0.0000 0.0000 0.0000
Ta: 0.3333 0.6667 0.6667
Ta: 0.6667 0.3333 0.3333
Tl: 0.0000 0.0000 0.2465
Tl: 0.0000 0.0000 0.7535
Tl: 0.3333 0.6667 0.4202
Tl: 0.3333 0.6667 0.9132
Tl: 0.6667 0.3333 0.0868
Tl: 0.6667 0.3333 0.5798
Pt: 0.0000 0.0000 0.5000
Pt: 0.3333 0.6667 0.1667
Pt: 0.6667 0.3333 0.8333

Results
V: 243.3 Å³/cell
Space-group type: R-3m (166)

---

Order of stability, best first: model A, model C, model D, model B